Record 1
Cs3ReS4: relaxed, GGA-PBE.

POSCAR file:
```
Cs3ReS4
1.0
7.575 -0.161 -0.041
-3.870 6.513 0.041
-3.328 -2.316 6.400
Cs Re S
3 1 4
direct
0.571 0.239 0.809
0.007 0.000 0.007
0.571 0.761 0.332
0.005 0.500 0.505
0.159 0.676 0.835
0.159 0.324 0.482
0.598 0.257 0.340
0.083 0.743 0.340
```

Crystal system ... orthorhombic
Total magnetization ... 2.02 μB/f.u.
Symmetry ... Imm2, No. 44
Raw formation energy ... -0.825 eV/atom


Record 2
MgCdPb3: relaxed, GGA-PBE.

POSCAR file:
```
MgCdPb3
1.0
-2.238 -1.206 4.930
-3.912 -3.023 -2.515
3.234 -4.492 0.369
Pb Mg Cd
3 1 1
direct
0.000 0.500 0.000
0.000 0.000 0.500
0.500 0.000 0.000
0.000 0.000 0.000
0.500 0.500 0.500
```

Crystal system ... cubic
Total magnetization ... 0.00 μB/f.u.
Symmetry ... Pm-3m, No. 221
Calculated formation energy ... 35.6 kJ/mol of atoms
Offset from the most stable computed form ... 1.81 eV/f.u.


Record 3
Nd2Ho6Mg: relaxed, GGA-PBE.

POSCAR file:
```
Nd2Ho6Mg
1.0
5.020 0.000 0.198
0.000 10.562 0.000
-0.414 0.000 10.556
Nd Ho Mg
4 12 2
direct
0.000 0.335 0.835
0.500 0.835 0.665
0.500 0.165 0.335
0.000 0.665 0.165
0.000 0.999 0.166
0.000 0.666 0.499
0.000 0.668 0.832
0.500 0.168 0.668
0.500 0.166 0.001
0.500 0.499 0.334
0.000 0.001 0.834
0.000 0.334 0.501
0.000 0.332 0.168
0.500 0.832 0.332
0.500 0.834 0.999
0.500 0.501 0.666
0.500 0.500 0.000
0.000 0.000 0.500
```

Crystal system ... tetragonal
Total magnetization ... 0.00 μB/f.u.
Symmetry ... P4_2/mnm, No. 136
Calculated formation energy ... 2.5 kJ/mol of atoms
Offset from the most stable computed form ... 0.00 eV/f.u.


Taking the records one at a time from the top gives E values of -38.1; -11.8; -76.7 eV for the cell shown.
Taking the records one at a time from the top gives Fermi-level density of states values of 0.01; 0.40; 1.43 states/eV per atom.